Rb6WBr12 GGA-PBE optimized geometry; total moment = 0.03 μB/atom; uncorrected energy = -61.61 eV per formula unit
1.0
7.761 4.481 4.465
-7.761 4.481 4.465
0.000 -8.961 4.465
Rb W Br
6 1 12
Cartesian
-4.452 -4.464 7.153
-6.092 1.624 6.241
1.640 -6.087 6.241
-1.640 6.087 7.153
6.092 -1.624 7.153
4.452 4.464 6.241
0.000 0.000 6.697
-6.046 -1.537 7.317
-1.692 -6.005 6.078
-1.466 -1.408 5.266
-4.354 4.467 6.078
-0.486 1.974 5.266
1.952 -0.566 5.266
-1.952 0.566 8.129
0.486 -1.974 8.129
4.354 -4.467 7.317
1.466 1.408 8.129
1.692 6.005 7.317
6.046 1.537 6.078